(1)
ScBeBr2 (PBE, optimized geometry); polymorph energy (0 for the lowest one) = 0.0 meV per atom; N(E_F) = 0.339 states/eV per atom; formation energy from raw total energies = -13.9 kcal/mol of atoms; symmetry = Pm, No. 6
1.0
-0.6001 -2.4776 -2.1631
2.3092 1.2753 -2.1013
7.3371 -4.2737 2.8598
Sc Br Be
1 2 1
Direct
0.0000 0.5452 0.5298 Sc
0.0000 0.8712 0.8960 Br
0.5000 0.1370 0.3393 Br
0.5000 0.9466 0.7349 Be

=====

(2)
Sc2BeBr (PBE, optimized geometry); polymorph energy (0 for the lowest one) = 757.1 meV per atom; N(E_F) = 1.223 states/eV per atom; formation energy from raw total energies = 7.6 kcal/mol of atoms; symmetry = R-3m, No. 166
1.0
1.8790 0.0000 9.8559
-0.9395 1.6273 9.8559
-0.9395 -1.6273 9.8559
Sc Br Be
2 1 1
Direct
0.9085 0.9085 0.9085 Sc
0.0915 0.0915 0.0915 Sc
0.5000 0.5000 0.5000 Br
0.0000 0.0000 0.0000 Be

=====

(3)
ScBe3Br (PBE, optimized geometry); polymorph energy (0 for the lowest one) = 0.0 meV per atom; N(E_F) = 0.996 states/eV per atom; formation energy from raw total energies = 27.9 kcal/mol of atoms; symmetry = Pm-3m, No. 221
1.0
-3.2571 -2.0117 -2.2586
2.9135 -1.1956 -3.1366
0.8121 -3.7789 2.1947
Sc Be Br
1 3 1
Direct
0.5000 0.5000 0.5000 Sc
0.0000 0.0000 0.5000 Be
0.0000 0.5000 0.0000 Be
0.5000 0.0000 0.0000 Be
0.0000 0.0000 0.0000 Br

=====

(4)
Sc2BeBr (PBE, optimized geometry); polymorph energy (0 for the lowest one) = 171.6 meV per atom; N(E_F) = 0.829 states/eV per atom; formation energy from raw total energies = -5.9 kcal/mol of atoms; symmetry = Imm2, No. 44
1.0
-1.6965 2.3348 6.9620
1.3319 -1.4407 7.2766
1.9854 1.1737 -7.1749
Sc Br Be
2 1 1
Direct
0.9745 0.9745 0.0000 Sc
0.1809 0.6809 0.5000 Sc
0.7972 0.2972 0.5000 Br
0.5474 0.5474 0.0000 Be

=====

(5)
ScBe2Br (PBE, optimized geometry); polymorph energy (0 for the lowest one) = 573.8 meV per atom; N(E_F) = 0.625 states/eV per atom; formation energy from raw total energies = 9.8 kcal/mol of atoms; symmetry = I-42d, No. 122
1.0
-5.9677 -3.1664 2.7162
-0.4364 -4.2410 -5.9026
-1.7322 -5.4752 -0.4290
Sc Be Br
2 4 2
Direct
0.5000 0.5000 0.0000 Sc
0.2500 0.7500 0.5000 Sc
0.1028 0.6250 0.2500 Be
0.6472 0.1250 0.2500 Be
0.8750 0.8972 0.7500 Be
0.3750 0.3528 0.7500 Be
0.0000 0.0000 0.0000 Br
0.7500 0.2500 0.5000 Br

=====

(6)
ScBeBr2 (PBE, optimized geometry); polymorph energy (0 for the lowest one) = 616.5 meV per atom; N(E_F) = 0.522 states/eV per atom; formation energy from raw total energies = 0.4 kcal/mol of atoms; symmetry = Cmmm, No. 65
1.0
-0.7390 -4.0715 2.6023
4.8200 -0.4350 -0.6886
0.5763 1.7620 2.9205
Br Sc Be
2 1 1
Direct
0.5000 0.5000 0.0000 Br
0.0000 0.0000 0.0000 Br
0.5000 0.0000 0.5000 Sc
0.0000 0.5000 0.5000 Be

=====

(7)
Sc2BeBr (PBE, optimized geometry); polymorph energy (0 for the lowest one) = 204.5 meV per atom; N(E_F) = 0.848 states/eV per atom; formation energy from raw total energies = -5.2 kcal/mol of atoms; symmetry = Cm, No. 8
1.0
5.4315 -0.0121 -0.0278
4.4052 3.1774 -0.0278
0.1636 0.0526 4.3826
Sc Be Br
2 1 1
Direct
0.0081 0.0081 0.1377 Sc
0.7315 0.7315 0.6178 Sc
0.4855 0.4855 0.6315 Be
0.2749 0.2749 0.1130 Br

=====

(8)
ScBe2Br (PBE, optimized geometry); polymorph energy (0 for the lowest one) = 496.4 meV per atom; N(E_F) = 0.650 states/eV per atom; formation energy from raw total energies = 8.1 kcal/mol of atoms; symmetry = Pmmm, No. 47
1.0
-1.3265 3.5081 -0.8715
-1.5670 -1.2772 -2.7561
-4.3988 -0.9344 2.9340
Be Sc Br
2 1 1
Direct
0.0000 0.0000 0.9354 Be
0.0000 0.0000 0.5646 Be
0.5000 0.5000 0.7500 Sc
0.5000 0.5000 0.2500 Br

=====

(9)
ScBe2Br (PBE, optimized geometry); polymorph energy (0 for the lowest one) = 460.0 meV per atom; N(E_F) = 0.403 states/eV per atom; formation energy from raw total energies = 7.2 kcal/mol of atoms; symmetry = I-4m2, No. 119
1.0
-0.4934 -3.8138 -3.1709
3.1148 0.2788 -3.8812
0.5763 0.3490 4.9386
Br Be Sc
1 2 1
Direct
0.5000 0.5000 0.0000 Br
0.2500 0.7500 0.5000 Be
0.0000 0.0000 0.0000 Be
0.7500 0.2500 0.5000 Sc

=====

(10)
Sc2BeBr (PBE, optimized geometry); polymorph energy (0 for the lowest one) = 367.8 meV per atom; N(E_F) = 0.891 states/eV per atom; formation energy from raw total energies = -1.4 kcal/mol of atoms; symmetry = Immm, No. 71
1.0
-1.7163 4.4651 -1.5827
-4.7303 -0.4294 1.6814
4.5566 0.0582 2.1498
Br Sc Be
1 2 1
Direct
0.7500 0.2500 0.5000 Br
0.0034 0.0034 0.0000 Sc
0.4966 0.4966 0.0000 Sc
0.2500 0.7500 0.5000 Be

=====

(11)
ScBe2Br (PBE, optimized geometry); polymorph energy (0 for the lowest one) = 403.5 meV per atom; N(E_F) = 0.687 states/eV per atom; formation energy from raw total energies = 5.9 kcal/mol of atoms; symmetry = Pmmm, No. 47
1.0
3.6720 0.0000 0.0000
0.0000 3.4510 -0.0316
0.0000 0.0531 5.6207
Br Be Sc
1 2 1
Direct
0.5000 0.2500 0.2500 Br
0.0000 0.2501 0.5683 Be
0.0000 0.2499 0.9317 Be
0.5000 0.7500 0.7500 Sc

=====

(12)
Sc2BeBr (PBE, optimized geometry); polymorph energy (0 for the lowest one) = 133.5 meV per atom; N(E_F) = 0.695 states/eV per atom; formation energy from raw total energies = -6.8 kcal/mol of atoms; symmetry = P4mm, No. 99
1.0
3.8148 0.0000 0.0000
0.0000 3.8148 0.0000
0.0000 0.0000 5.3949
Sc Br Be
2 1 1
Direct
0.5000 0.5000 0.3745 Sc
0.0000 0.0000 0.8758 Sc
0.5000 0.5000 0.8743 Br
0.0000 0.0000 0.3754 Be

=====

(13)
Sc2BeBr (PBE, optimized geometry); polymorph energy (0 for the lowest one) = 392.6 meV per atom; N(E_F) = 0.690 states/eV per atom; formation energy from raw total energies = -0.8 kcal/mol of atoms; symmetry = R3m, No. 160
1.0
9.8505 0.0188 0.0111
9.2583 3.3641 0.0111
9.2583 1.6390 2.9379
Br Sc Be
1 2 1
Direct
0.7348 0.7348 0.7348 Br
0.0030 0.0030 0.0030 Sc
0.2462 0.2462 0.2462 Sc
0.5161 0.5161 0.5161 Be

=====

(14)
ScBe2Br (PBE, optimized geometry); polymorph energy (0 for the lowest one) = 625.6 meV per atom; N(E_F) = 0.391 states/eV per atom; formation energy from raw total energies = 11.0 kcal/mol of atoms; symmetry = F-43m, No. 216
1.0
-1.7469 -2.5904 -3.2768
0.0161 -4.5074 0.4268
-3.8828 -2.2217 0.6983
Be Sc Br
2 1 1
Direct
0.0000 0.0000 0.0000 Be
0.7500 0.7500 0.7500 Be
0.2500 0.2500 0.2500 Sc
0.5000 0.5000 0.5000 Br

=====

(15)
ScBe2Br (PBE, optimized geometry); polymorph energy (0 for the lowest one) = 198.9 meV per atom; N(E_F) = 0.646 states/eV per atom; formation energy from raw total energies = 1.2 kcal/mol of atoms; symmetry = P4mm, No. 99
1.0
3.0979 0.0000 0.0000
0.0000 3.0979 0.0000
0.0000 0.0000 8.0671
Sc Be Br
1 2 1
Direct
0.5000 0.5000 0.7833 Sc
0.0000 0.0000 0.0268 Be
0.5000 0.5000 0.1182 Be
0.0000 0.0000 0.5717 Br

=====

(16)
ScBeBr2 (PBE, optimized geometry); polymorph energy (0 for the lowest one) = 656.6 meV per atom; N(E_F) = 1.598 states/eV per atom; formation energy from raw total energies = 1.3 kcal/mol of atoms; symmetry = I-42d, No. 122
1.0
5.9545 0.0000 0.0000
0.0000 5.9545 0.0000
2.9772 2.9772 5.4641
Be Sc Br
2 2 4
Direct
0.2500 0.7500 0.5000 Be
0.5000 0.5000 0.0000 Be
0.7500 0.2500 0.5000 Sc
0.0000 0.0000 0.0000 Sc
0.8750 0.8023 0.7500 Br
0.3750 0.4477 0.7500 Br
0.1977 0.6250 0.2500 Br
0.5523 0.1250 0.2500 Br

=====

(17)
ScBe2Br (PBE, optimized geometry); polymorph energy (0 for the lowest one) = 0.0 meV per atom; N(E_F) = 0.604 states/eV per atom; formation energy from raw total energies = -3.4 kcal/mol of atoms; symmetry = Cm, No. 8
1.0
3.7787 0.0071 -0.0215
2.0853 3.1512 -0.0215
-0.0701 -0.0378 6.1254
Br Be Sc
1 2 1
Direct
0.6228 0.6228 0.4813 Br
0.9519 0.9519 0.9340 Be
0.6320 0.6320 0.9006 Be
0.2933 0.2933 0.1842 Sc

=====

(18)
ScBeBr2 (PBE, optimized geometry); polymorph energy (0 for the lowest one) = 547.5 meV per atom; N(E_F) = 0.858 states/eV per atom; formation energy from raw total energies = -1.2 kcal/mol of atoms; symmetry = Fm-3m, No. 225
1.0
-4.6573 -1.3860 0.5793
-3.1678 2.9562 2.2746
-3.5457 2.2109 -2.5471
Sc Br Be
1 2 1
Direct
0.5000 0.5000 0.5000 Sc
0.7500 0.7500 0.7500 Br
0.2500 0.2500 0.2500 Br
0.0000 0.0000 0.0000 Be

=====

(19)
ScBe2Br (PBE, optimized geometry); polymorph energy (0 for the lowest one) = 583.6 meV per atom; N(E_F) = 0.680 states/eV per atom; formation energy from raw total energies = 10.1 kcal/mol of atoms; symmetry = P4/mmm, No. 123
1.0
4.1344 0.0000 0.0000
0.0000 4.1344 0.0000
0.0000 0.0000 3.7826
Br Be Sc
1 2 1
Direct
0.5000 0.0000 0.5000 Br
0.5000 0.5000 0.0000 Be
0.0000 0.0000 0.0000 Be
0.0000 0.5000 0.5000 Sc

=====

(20)
ScBe2Br (PBE, optimized geometry); polymorph energy (0 for the lowest one) = 279.1 meV per atom; N(E_F) = 0.513 states/eV per atom; formation energy from raw total energies = 3.1 kcal/mol of atoms; symmetry = Pm, No. 6
1.0
3.9402 0.0000 0.0000
0.0000 3.2059 -0.0384
0.0000 0.0900 5.9552
Br Be Sc
1 2 1
Direct
0.0000 0.2516 0.5399 Br
0.5000 0.2492 0.1259 Be
0.0000 0.2482 0.0301 Be
0.5000 0.7510 0.8042 Sc

=====

(21)
ScBeBr2 (PBE, optimized geometry); polymorph energy (0 for the lowest one) = 191.7 meV per atom; N(E_F) = 0.264 states/eV per atom; formation energy from raw total energies = -9.4 kcal/mol of atoms; symmetry = Cm, No. 8
1.0
-0.1690 2.9409 4.3852
-3.3395 2.3070 3.3812
-1.5351 -2.9361 6.7017
Be Br Sc
1 2 1
Direct
0.2424 0.2424 0.2710 Be
0.9088 0.9088 0.0170 Br
0.8163 0.8163 0.6054 Br
0.5325 0.5325 0.6066 Sc

=====

(22)
Sc2BeBr (PBE, optimized geometry); polymorph energy (0 for the lowest one) = 0.0 meV per atom; N(E_F) = 0.563 states/eV per atom; formation energy from raw total energies = -9.9 kcal/mol of atoms; symmetry = R-3m, No. 166
1.0
3.6203 -0.0027 0.0007
1.8145 3.1327 0.0007
1.8045 1.0392 7.0927
Be Br Sc
1 1 2
Direct
0.7500 0.7500 0.7500 Be
0.2500 0.2500 0.2500 Br
0.0140 0.0140 0.9581 Sc
0.4860 0.4860 0.5419 Sc

=====

(23)
Sc2BeBr (PBE, optimized geometry); polymorph energy (0 for the lowest one) = 994.0 meV per atom; N(E_F) = 1.732 states/eV per atom; formation energy from raw total energies = 13.0 kcal/mol of atoms; symmetry = F-43m, No. 216
1.0
-3.7250 1.9674 -2.3820
-4.5270 -0.7694 1.5279
-2.5221 3.6089 2.0088
Be Br Sc
1 1 2
Direct
0.5000 0.5000 0.5000 Be
0.2500 0.2500 0.2500 Br
0.7500 0.7500 0.7500 Sc
0.0000 0.0000 0.0000 Sc

=====

(24)
ScBe2Br (PBE, optimized geometry); polymorph energy (0 for the lowest one) = 1028.2 meV per atom; N(E_F) = 0.924 states/eV per atom; formation energy from raw total energies = 20.3 kcal/mol of atoms; symmetry = Fm-3m, No. 225
1.0
1.0518 -4.2739 -1.2297
0.7199 -3.1858 3.1964
-3.0360 -3.3628 0.5990
Br Be Sc
1 2 1
Direct
0.5000 0.5000 0.5000 Br
0.2500 0.2500 0.2500 Be
0.7500 0.7500 0.7500 Be
0.0000 0.0000 0.0000 Sc

=====

(25)
ScBe2Br (PBE, optimized geometry); polymorph energy (0 for the lowest one) = 512.6 meV per atom; N(E_F) = 0.592 states/eV per atom; formation energy from raw total energies = 8.4 kcal/mol of atoms; symmetry = P2/m, No. 10
1.0
-3.1349 0.6990 -0.2491
-0.6405 -1.4331 4.0389
0.3764 3.3145 4.5637
Be Br Sc
2 1 1
Direct
0.5000 0.5000 0.0000 Be
0.0000 0.0000 0.0000 Be
0.5000 0.5000 0.5000 Br
0.0000 0.0000 0.5000 Sc

=====

(26)
ScBeBr4 (PBE, optimized geometry); N(E_F) = 1.551 states/eV per atom; formation energy from raw total energies = 16.0 kcal/mol of atoms; symmetry = F-43m, No. 216
1.0
0.0000 4.3875 4.3875
4.3875 0.0000 4.3875
4.3875 4.3875 0.0000
Br Sc Be
4 1 1
Direct
0.8739 0.3754 0.3754 Br
0.3754 0.3754 0.3754 Br
0.3754 0.8739 0.3754 Br
0.3754 0.3754 0.8739 Br
0.7500 0.7500 0.7500 Sc
0.0000 0.0000 0.0000 Be

=====

(27)
Sc2BeBr (PBE, optimized geometry); polymorph energy (0 for the lowest one) = 327.7 meV per atom; N(E_F) = 0.913 states/eV per atom; formation energy from raw total energies = -2.3 kcal/mol of atoms; symmetry = Cmmm, No. 65
1.0
-4.4602 1.1512 1.7175
1.3272 -2.8964 3.7441
1.2273 2.5087 1.5057
Sc Be Br
2 1 1
Direct
0.0000 0.0000 0.0000 Sc
0.5000 0.5000 0.0000 Sc
0.5000 0.0000 0.5000 Be
0.0000 0.5000 0.5000 Br

=====

(28)
ScBeBr2 (PBE, optimized geometry); polymorph energy (0 for the lowest one) = 296.8 meV per atom; N(E_F) = 0.741 states/eV per atom; formation energy from raw total energies = -7.0 kcal/mol of atoms; symmetry = R-3m, No. 166
1.0
0.2660 8.8476 1.6320
2.6371 8.5585 -0.9012
-0.7426 8.8075 -1.7003
Be Br Sc
1 2 1
Direct
0.0000 0.0000 0.0000 Be
0.9030 0.9030 0.9030 Br
0.0970 0.0970 0.0970 Br
0.5000 0.5000 0.5000 Sc

=====

(29)
ScBeBr2 (PBE, optimized geometry); polymorph energy (0 for the lowest one) = 384.9 meV per atom; N(E_F) = 0.423 states/eV per atom; formation energy from raw total energies = -5.0 kcal/mol of atoms; symmetry = P4/mmm, No. 123
1.0
3.3370 0.0000 0.0000
0.0000 3.3370 0.0000
0.0000 0.0000 9.2834
Br Be Sc
2 1 1
Direct
0.0000 0.0000 0.4274 Br
0.0000 0.0000 0.0726 Br
0.5000 0.5000 0.7500 Be
0.5000 0.5000 0.2500 Sc

=====

(30)
Sc2BeBr (PBE, optimized geometry); polymorph energy (0 for the lowest one) = 438.1 meV per atom; N(E_F) = 0.934 states/eV per atom; formation energy from raw total energies = 0.2 kcal/mol of atoms; symmetry = I-4m2, No. 119
1.0
-0.2234 0.2414 5.7848
-4.9645 0.2507 2.9770
2.5222 -2.9979 -4.2688
Br Sc Be
1 2 1
Direct
0.7500 0.2500 0.5000 Br
0.0000 0.0000 0.0000 Sc
0.2500 0.7500 0.5000 Sc
0.5000 0.5000 0.0000 Be